1.
First-principles (PBE) data for TlGaHg after structural relaxation, as listed in the Alexandria database.

Geometry as extended XYZ:
```
3
Lattice="3.574 0.000 0.000 0.000 3.574 0.000 -1.787 -1.787 6.014" Properties=species:S:1:pos:R:3 pbc="T T T"
Tl 1.787 1.787 5.930
Hg 1.787 1.787 2.237
Ga 0.000 0.000 3.860
```

As for the crystal system: tetragonal. Its size of the total moment is 0.00 μB per formula unit. The calculation puts the formation energy at 20 kJ/mol of formula units.

---

2.
First-principles (PBE) data for Mo2PdRu2 after structural relaxation, as listed in the Alexandria database.

Geometry as extended XYZ:
```
10
Lattice="-5.336 0.671 5.216 -5.205 -1.741 -5.100 0.284 -2.727 0.641" Properties=species:S:1:pos:R:3 pbc="T T T"
Ru -4.133 -2.404 -2.211
Ru -7.751 -2.386 -0.535
Ru -6.124 -1.393 2.968
Ru -2.505 -1.411 1.292
Mo -6.426 -1.259 -2.508
Mo -7.920 -0.530 1.250
Mo -4.114 0.189 2.624
Mo -2.620 -0.540 -1.135
Pd 0.000 0.000 0.000
Pd -5.270 -0.535 0.058
```

As for the crystal system: tetragonal. The value obtained for the energy above the most stable polymorph in this dataset is 0.089 eV per atom. Its size of the total moment is 0.00 μB per formula unit. The calculation puts the formation energy at 95 kJ/mol of formula units.

---

3.
First-principles (PBE) data for Pr7Ag4Sn after structural relaxation, as listed in the Alexandria database.

Geometry as extended XYZ:
```
12
Lattice="5.941 0.000 0.000 2.970 8.426 1.142 2.970 1.276 7.315" Properties=species:S:1:pos:R:3 pbc="T T T"
Pr 8.911 8.071 4.477
Pr 2.970 1.631 3.979
Pr 2.970 5.346 2.533
Pr 8.911 4.356 5.923
Pr 5.941 6.807 6.359
Pr 2.970 0.000 0.000
Pr 5.941 2.895 2.097
Ag 5.941 3.528 5.030
Ag 5.941 6.173 3.427
Ag 8.911 6.768 7.794
Ag 2.970 2.934 0.662
Sn 0.000 0.000 0.000
```

As for the crystal system: monoclinic. Its size of the total moment is 0.00 μB per formula unit. The calculation puts the formation energy at -172 kJ/mol of formula units.

---

4.
First-principles (PBE) data for YAgSn after structural relaxation, as listed in the Alexandria database.

Geometry as extended XYZ:
```
6
Lattice="-4.306 -0.334 1.549 -0.395 -4.117 -1.987 2.450 -3.192 6.126" Properties=species:S:1:pos:R:3 pbc="T T T"
Y 1.225 -1.596 3.063
Y -1.126 -3.821 2.844
Sn 0.241 -2.630 0.103
Sn -0.141 -2.787 5.804
Ag 1.752 -4.598 3.880
Ag -1.652 -0.819 2.027
```

As for the crystal system: tetragonal. Its size of the total moment is 0.00 μB per formula unit. The calculation puts the formation energy at -43 kJ/mol of formula units.

---

5.
First-principles (PBE) data for CdPPt2 after structural relaxation, as listed in the Alexandria database.

Geometry as extended XYZ:
```
4
Lattice="-3.949 2.199 0.618 -3.949 -2.249 -0.395 -2.524 -0.843 3.705" Properties=species:S:1:pos:R:3 pbc="T T T"
Cd -5.211 -0.447 1.964
P -7.817 -0.670 2.946
Pt 0.000 0.000 0.000
Pt -2.606 -0.223 0.982
```

As for the crystal system: cubic. The value obtained for the energy above the most stable polymorph in this dataset is 0.433 eV per atom. Its size of the total moment is 0.00 μB per formula unit. The calculation puts the formation energy at 68 kJ/mol of formula units.

---

6.
First-principles (PBE) data for LiHg8Pb2 after structural relaxation, as listed in the Alexandria database.

Geometry as extended XYZ:
```
11
Lattice="4.700 0.000 0.000 0.000 4.700 0.000 0.000 0.000 12.891" Properties=species:S:1:pos:R:3 pbc="T T T"
Li 0.000 0.000 0.000
Hg 0.000 2.350 6.445
Hg 2.350 0.000 6.445
Hg 2.350 2.350 4.007
Hg 2.350 2.350 8.884
Hg 0.000 2.350 1.551
Hg 2.350 0.000 1.551
Hg 0.000 2.350 11.340
Hg 2.350 0.000 11.340
Pb 0.000 0.000 3.954
Pb 0.000 0.000 8.937
```

As for the crystal system: tetragonal. Its size of the total moment is 0.00 μB per formula unit. The calculation puts the formation energy at -42 kJ/mol of formula units.

---

7.
First-principles (PBE) data for AlMoW2 after structural relaxation, as listed in the Alexandria database.

Geometry as extended XYZ:
```
4
Lattice="3.296 0.000 0.000 0.000 3.296 0.000 0.000 0.000 5.802" Properties=species:S:1:pos:R:3 pbc="T T T"
Mo 1.648 1.648 4.309
Al 0.000 0.000 2.911
W 0.000 0.000 0.004
W 1.648 1.648 1.479
```

As for the crystal system: tetragonal. Its size of the total moment is 0.00 μB per formula unit. The calculation puts the formation energy at 21 kJ/mol of formula units.

---

8.
First-principles (PBE) data for RbAg2HgPt after structural relaxation, as listed in the Alexandria database.

Geometry as extended XYZ:
```
5
Lattice="5.318 0.000 0.000 0.000 5.318 0.000 0.000 0.000 5.285" Properties=species:S:1:pos:R:3 pbc="T T T"
Ag 0.000 2.659 0.000
Ag 2.659 0.000 0.000
Rb 2.659 2.659 2.643
Hg 0.000 0.000 2.643
Pt 0.000 0.000 0.000
```

As for the crystal system: tetragonal. Its size of the total moment is 0.00 μB per formula unit. The calculation puts the formation energy at 32 kJ/mol of formula units.

---

9.
First-principles (PBE) data for BaTl2IrCl8 after structural relaxation, as listed in the Alexandria database.

Geometry as extended XYZ:
```
12
Lattice="-0.011 -1.389 6.660 5.756 -0.562 -3.583 1.829 8.033 1.679" Properties=species:S:1:pos:R:3 pbc="T T T"
Ba 0.915 4.016 0.839
Tl 2.207 0.183 3.517
Tl 5.368 5.898 1.239
Ir 0.000 0.000 0.000
Cl 5.444 5.126 4.553
Cl 2.430 6.150 2.939
Cl 2.424 5.421 6.433
Cl 2.130 0.955 0.203
Cl 5.145 -0.069 1.817
Cl 5.151 0.660 -1.677
Cl 2.807 2.819 4.068
Cl 4.768 3.262 0.688
```

As for the crystal system: trigonal. Its size of the total moment is 0.25 μB per formula unit. As for the uncorrected formation energy: -1.10 eV per atom.

---

10.
First-principles (PBE) data for CsBiNF2 after structural relaxation, as listed in the Alexandria database.

Geometry as extended XYZ:
```
5
Lattice="-3.659 2.987 1.280 1.155 -0.607 4.717 2.626 3.310 -0.217" Properties=species:S:1:pos:R:3 pbc="T T T"
Cs 0.061 2.844 2.890
N 1.313 1.655 -0.108
Bi 0.000 0.000 0.000
F 0.577 -0.304 2.358
F -1.830 1.493 0.640
```

As for the crystal system: tetragonal. The value obtained for the energy above the most stable polymorph in this dataset is 0.000 eV per atom. Its size of the total moment is 0.00 μB per formula unit. As for the uncorrected formation energy: -1.19 eV per atom.

---

11.
First-principles (PBE) data for LaCeSm2Ho after structural relaxation, as listed in the Alexandria database.

Geometry as extended XYZ:
```
10
Lattice="6.287 0.000 0.000 0.000 8.486 1.362 0.000 -1.303 6.077" Properties=species:S:1:pos:R:3 pbc="T T T"
La 0.000 0.000 0.000
La 0.000 -0.651 3.039
Ce 3.389 -0.326 1.519
Ce 2.899 -0.977 4.558
Sm 4.336 4.853 5.592
Sm 4.336 1.678 4.886
Sm 1.951 5.505 2.553
Sm 1.951 2.330 1.847
Ho 1.099 3.266 5.239
Ho 5.189 3.917 2.200
```

As for the crystal system: monoclinic. Its size of the total moment is 0.69 μB per formula unit. The calculation puts the formation energy at 130 kJ/mol of formula units.

---

12.
First-principles (PBE) data for ZrRu7 after structural relaxation, as listed in the Alexandria database.

Geometry as extended XYZ:
```
8
Lattice="0.000 3.892 3.892 3.892 0.000 3.892 3.892 3.892 0.000" Properties=species:S:1:pos:R:3 pbc="T T T"
Zr 0.000 0.000 0.000
Ru 1.946 0.000 1.946
Ru 0.000 1.946 1.946
Ru 1.946 1.946 3.892
Ru 1.946 1.946 0.000
Ru 3.892 1.946 1.946
Ru 1.946 3.892 1.946
Ru 3.892 3.892 3.892
```

As for the crystal system: cubic. Its size of the total moment is 0.00 μB per formula unit. The calculation puts the formation energy at 4 kJ/mol of formula units.

---

13.
First-principles (PBE) data for LaSmHo2 after structural relaxation, as listed in the Alexandria database.

Geometry as extended XYZ:
```
4
Lattice="-3.577 2.570 -2.434 -1.741 -4.372 -2.059 -3.166 -0.622 3.997" Properties=species:S:1:pos:R:3 pbc="T T T"
Ho -1.583 -0.311 1.998
Ho -0.870 -2.186 -1.030
Sm -4.242 -1.212 -0.248
La -1.788 1.285 -1.217
```

As for the crystal system: tetragonal. The value obtained for the energy above the most stable polymorph in this dataset is 0.013 eV per atom. Its size of the total moment is 0.00 μB per formula unit. The calculation puts the formation energy at 11 kJ/mol of formula units.

---

14.
First-principles (PBE) data for In12P3Se5 after structural relaxation, as listed in the Alexandria database.

Geometry as extended XYZ:
```
80
Lattice="-1.854 14.407 2.566 -10.485 -4.739 -9.230 -0.924 -7.418 12.717" Properties=species:S:1:pos:R:3 pbc="T T T"
P -5.438 8.101 0.053
P -9.601 8.125 -3.087
P -9.136 -2.788 1.988
P -2.120 0.228 4.257
P -3.163 10.159 4.271
P -7.479 0.586 -1.627
P -5.783 1.664 7.680
P -10.099 -7.910 1.782
P -11.142 2.022 1.796
P -4.126 5.038 4.065
P -3.661 -5.875 9.140
P -7.825 -5.851 6.000
Se -4.395 -1.831 0.039
Se -5.243 -2.370 -4.615
Se 0.000 0.000 0.000
Se -3.432 3.291 0.244
Se -1.389 3.495 7.641
Se -6.169 4.834 -3.332
Se -8.442 -4.535 -1.833
Se -3.509 3.722 11.898
Se -8.290 5.062 0.925
Se -2.698 -0.753 9.346
Se -10.564 3.003 -3.293
Se -6.631 1.125 3.026
Se -0.927 7.204 1.283
Se -0.462 -3.709 6.358
Se -4.973 -2.812 5.128
Se -9.753 -1.472 -5.845
Se -5.704 -6.079 1.743
Se -4.820 6.785 7.886
Se -9.831 -1.041 5.808
Se -8.868 4.081 6.014
In -2.982 9.310 1.280
In -6.902 -0.904 0.912
In -5.657 9.827 2.636
In -3.572 5.914 1.250
In -9.318 -0.060 3.223
In -8.049 9.494 -0.916
In -9.106 -1.967 -0.898
In -9.971 -4.226 -6.378
In -11.530 -0.913 1.315
In -7.560 6.524 -1.365
In -6.339 6.456 2.395
In -11.174 7.237 -5.483
In -8.430 -5.461 0.823
In -5.047 2.508 -1.922
In -10.036 -5.800 -3.775
In -2.899 1.014 7.167
In -2.086 -1.353 1.574
In -7.866 2.499 -3.906
In -11.469 5.639 -2.910
In -4.786 -0.486 -2.401
In -11.189 -5.129 2.065
In -8.296 2.249 0.876
In -10.965 5.017 1.793
In -5.794 2.695 10.618
In -4.967 0.001 5.177
In -2.297 -2.767 4.260
In -7.469 -0.446 -4.565
In -1.794 -3.389 8.963
In -2.074 7.379 3.987
In -8.476 2.736 8.453
In -5.397 -0.249 9.959
In -10.363 1.236 -1.114
In -11.176 3.603 4.479
In -3.226 8.050 9.828
In -4.832 7.711 5.230
In -2.088 -4.987 11.536
In -8.216 -0.258 7.975
In -1.732 3.163 4.738
In -5.703 -4.274 7.417
In -6.924 -4.206 3.658
In -3.292 6.475 12.431
In -4.156 4.217 6.951
In -9.691 -3.664 4.803
In -5.214 -7.244 6.969
In -3.945 2.310 2.830
In -7.606 -7.577 3.417
In -6.360 3.154 5.141
In -10.281 -7.060 4.773
```

As for the crystal system: cubic. Its size of the total moment is 0.00 μB per formula unit. As for the uncorrected formation energy: -0.02 eV per atom.

---

15.
First-principles (PBE) data for GeCNF2 after structural relaxation, as listed in the Alexandria database.

Geometry as extended XYZ:
```
5
Lattice="3.854 0.000 0.000 0.000 3.854 0.000 0.000 0.000 3.724" Properties=species:S:1:pos:R:3 pbc="T T T"
Ge 0.000 0.000 0.000
N 0.000 0.000 1.862
C 1.927 1.927 1.862
F 0.000 1.927 0.000
F 1.927 0.000 0.000
```

As for the crystal system: tetragonal. The value obtained for the energy above the most stable polymorph in this dataset is 1.000 eV per atom. Its size of the total moment is 0.95 μB per formula unit. As for the uncorrected formation energy: 0.73 eV per atom.

---

16.
First-principles (PBE) data for Pr12Tl3Bi5 after structural relaxation, as listed in the Alexandria database.

Geometry as extended XYZ:
```
80
Lattice="16.273 0.000 0.000 -5.424 15.342 0.000 -5.424 -7.671 13.287" Properties=species:S:1:pos:R:3 pbc="T T T"
Tl 9.493 4.794 1.661
Tl 9.493 10.548 1.661
Tl -1.356 6.712 8.304
Tl 1.356 -0.959 4.983
Tl 12.205 0.000 3.322
Tl 1.356 7.671 3.322
Tl 4.068 0.000 9.965
Tl -6.780 7.671 9.965
Tl 4.068 8.630 8.304
Tl 6.780 0.959 4.983
Tl -4.068 -2.877 11.626
Tl -4.068 2.877 11.626
Bi -1.356 3.836 3.322
Bi -2.712 7.671 0.000
Bi 0.000 0.000 0.000
Bi 4.068 2.877 1.661
Bi 5.424 -3.836 6.643
Bi 5.424 7.671 0.000
Bi -4.068 8.630 4.983
Bi 6.780 -4.794 11.626
Bi 6.780 6.712 4.983
Bi 1.356 -3.836 9.965
Bi 4.068 11.507 3.322
Bi 2.712 3.836 6.643
Bi 8.136 0.000 0.000
Bi -2.712 -3.836 6.643
Bi -1.356 0.959 8.304
Bi -1.356 12.466 1.661
Bi -5.424 3.836 6.643
Bi 9.493 -0.959 8.304
Bi 1.356 4.794 11.626
Bi 6.780 3.836 9.965
Pr 10.753 1.667 0.785
Pr 0.095 5.349 5.592
Pr 11.866 3.454 3.633
Pr 7.119 2.416 1.836
Pr 2.013 6.027 8.869
Pr 11.262 7.600 2.226
Pr -1.017 8.709 5.469
Pr -4.407 12.926 1.836
Pr 0.699 9.316 8.869
Pr 7.723 7.742 2.226
Pr 8.232 3.989 4.807
Pr 8.232 13.675 0.785
Pr -4.725 6.858 7.428
Pr 3.126 5.779 1.174
Pr -5.520 11.353 4.807
Pr 2.807 -2.323 7.695
Pr -0.699 0.832 3.010
Pr 3.126 9.634 1.051
Pr 7.119 11.889 3.633
Pr -0.413 5.708 1.051
Pr -3.411 8.503 10.277
Pr 3.730 6.633 5.469
Pr 7.437 8.484 7.428
Pr 5.838 -1.892 12.112
Pr 1.695 1.038 7.818
Pr -2.013 -0.813 5.859
Pr -0.413 9.563 1.174
Pr -1.695 -4.218 9.654
Pr 8.836 -0.832 3.010
Pr 5.838 1.963 12.236
Pr 2.299 -1.963 12.236
Pr 2.617 9.994 5.592
Pr 6.124 6.839 10.277
Pr 10.944 -3.682 8.479
Pr 10.149 0.813 5.859
Pr -2.807 -6.004 12.502
Pr 2.299 1.892 12.112
Pr 4.725 -1.645 4.418
Pr -2.299 -0.071 11.061
Pr -2.807 3.682 8.479
Pr 9.831 -5.255 11.451
Pr 6.442 -1.038 7.818
Pr -1.695 5.255 11.451
Pr -5.838 0.071 11.061
Pr 3.411 1.645 4.418
Pr -6.442 4.218 9.654
Pr 5.329 2.323 7.695
Pr -5.329 6.004 12.502
```

As for the crystal system: cubic. Its size of the total moment is 2.31 μB per formula unit. The calculation puts the formation energy at -393 kJ/mol of formula units.

---

17.
First-principles (PBE) data for Cs5Rb5Cd after structural relaxation, as listed in the Alexandria database.

Geometry as extended XYZ:
```
11
Lattice="7.447 0.000 2.433 2.859 11.218 3.861 0.009 -1.130 12.585" Properties=species:S:1:pos:R:3 pbc="T T T"
Cs 3.090 7.351 3.155
Cs 1.242 -0.427 8.811
Cs 3.723 0.000 1.217
Cs 9.073 10.515 10.068
Cs 7.225 2.736 15.725
Rb 2.552 2.591 4.801
Rb 4.571 3.197 11.235
Rb 1.434 5.044 8.223
Rb 5.744 6.890 7.645
Rb 7.763 7.497 14.078
Cd 0.000 0.000 0.000
```

As for the crystal system: monoclinic. Its size of the total moment is 0.00 μB per formula unit. The calculation puts the formation energy at 38 kJ/mol of formula units.

---

18.
First-principles (PBE) data for Na2YTmTe4 after structural relaxation, as listed in the Alexandria database.

Geometry as extended XYZ:
```
8
Lattice="4.407 0.000 0.000 0.000 7.628 0.112 0.000 -2.658 7.532" Properties=species:S:1:pos:R:3 pbc="T T T"
Na 2.203 -1.329 3.766
Na 0.000 2.485 3.822
Y 0.000 0.000 0.000
Tm 2.203 3.814 0.056
Te 2.203 1.267 1.771
Te 2.203 3.704 5.873
Te 0.000 -0.068 5.830
Te 0.000 5.039 1.814
```

As for the crystal system: monoclinic. Its size of the total moment is 0.00 μB per formula unit. As for the uncorrected formation energy: -1.31 eV per atom.